The following is a DFT calculation (GGA-PBEsol) of crystalline Sc3ZnC at its relaxed geometry.

Cell lengths 4.4597, 4.4597, 4.4597 Å; angles 90.00, 90.00, 90.00 degrees
Closest atoms and distances in Å follow each position.
Element x y z (fractional)
Sc (0.0000, 0.0000, 0.5000)  2 C 2.23
Sc (0.0000, 0.5000, 0.0000)  2 C 2.23
Sc (0.5000, 0.0000, 0.0000)  2 C 2.23
Zn (0.5000, 0.5000, 0.5000)  12 Sc 3.15
C (0.0000, 0.0000, 0.0000)  6 Sc 2.23

Properties
ΔE to the lowest computed polymorph in meV/atom: 21
Fermi-level density of states in states/eV/cell: 6.22
Calculated density in Mg/m³: 3.97